A geometry-optimized KGa3Pd2 structure, computed with GGA-PBE.

```
KGa3Pd2
1.0
5.401 -4.042 0.000
5.401 4.042 0.000
0.000 0.000 5.623
K Ga Pd
2 6 4
Cartesian
5.401 2.869 4.217
5.401 -2.869 1.406
3.297 2.242 1.406
7.505 2.242 1.406
5.401 0.563 1.406
5.401 -0.563 4.217
3.297 -2.242 4.217
7.505 -2.242 4.217
3.238 0.000 0.000
3.238 0.000 2.811
7.564 0.000 0.000
7.564 0.000 2.811
```

Properties
N(E_F) in states/eV per cell: 6.17
ΔE_f in eV/f.u.: -2.63

A geometry-optimized KGa12Pd4 structure, computed with GGA-PBE.

```
KGa12Pd4
1.0
-4.464 4.464 4.464
4.464 -4.464 4.464
4.464 4.464 -4.464
K Ga Pd
1 12 4
Cartesian
0.000 0.000 0.000
3.117 0.000 1.397
5.811 0.000 1.397
4.464 3.066 -1.347
1.397 3.117 0.000
3.066 -1.347 4.464
4.464 3.066 1.347
0.000 1.397 3.117
1.397 5.811 0.000
3.066 1.347 4.464
0.000 1.397 5.811
-1.347 4.464 3.066
1.347 4.464 3.066
2.232 2.232 -2.232
2.232 -2.232 2.232
-2.232 2.232 2.232
2.232 2.232 2.232
```

Properties
N(E_F) in states/eV per cell: 11.35
ΔE_f in eV/f.u.: -2.98

A geometry-optimized KGa6Pd structure, computed with GGA-PBE.

```
KGa6Pd
1.0
4.469 0.000 0.000
0.000 4.469 0.000
0.000 0.000 8.279
K Ga Pd
1 6 1
Cartesian
0.000 0.000 0.000
0.000 2.234 2.753
0.000 2.234 5.526
2.234 0.000 2.753
2.234 0.000 5.526
2.234 2.234 1.280
2.234 2.234 6.999
0.000 0.000 4.139
```

Properties
N(E_F) in states/eV per cell: 3.17
ΔE_f in eV/f.u.: -2.18

A geometry-optimized KGa3Pd structure, computed with GGA-PBE.

```
KGa3Pd
1.0
4.982 0.000 0.000
0.000 4.982 0.000
0.000 0.000 4.982
K Ga Pd
1 3 1
Cartesian
0.000 0.000 0.000
0.000 2.491 2.491
2.491 0.000 2.491
2.491 2.491 0.000
2.491 2.491 2.491
```

Properties
N(E_F) in states/eV per cell: 2.77
ΔE_f in eV/f.u.: -0.70

A geometry-optimized KGaPd2 structure, computed with GGA-PBE.

```
KGaPd2
1.0
-2.649 2.649 8.232
2.649 -2.649 8.232
2.649 2.649 -8.232
K Ga Pd
2 2 4
Cartesian
0.000 0.000 0.000
0.000 2.649 4.116
2.649 0.000 4.116
0.000 0.000 8.232
1.325 -0.154 6.174
2.496 1.325 2.058
1.325 2.803 -2.058
0.154 1.325 10.290
```

Properties
N(E_F) in states/eV per cell: 5.83
ΔE_f in eV/f.u.: -0.49

A geometry-optimized KGa3Pd3 structure, computed with GGA-PBE.

```
KGa3Pd3
1.0
6.965 0.000 0.000
0.000 6.965 0.000
0.000 0.000 6.965
K Ga Pd
2 6 6
Cartesian
0.000 0.000 0.000
3.483 3.483 3.483
0.000 1.741 3.483
0.000 5.224 3.483
1.741 3.483 0.000
3.483 0.000 1.741
3.483 0.000 5.224
5.224 3.483 0.000
0.000 3.483 1.741
0.000 3.483 5.224
1.741 0.000 3.483
3.483 1.741 0.000
3.483 5.224 0.000
5.224 0.000 3.483
```

Properties
N(E_F) in states/eV per cell: 4.43
ΔE_f in eV/f.u.: -2.03

A geometry-optimized KGaPd structure, computed with GGA-PBE.

```
KGaPd
1.0
4.293 0.000 0.000
-2.147 3.718 0.000
0.000 0.000 5.228
K Ga Pd
1 1 1
Cartesian
0.000 0.000 0.000
2.147 1.239 2.614
0.000 2.479 2.614
```

Properties
N(E_F) in states/eV per cell: 1.69
ΔE_f in eV/f.u.: -0.74

A geometry-optimized K2RbGaPd structure, computed with GGA-PBE.

```
K2RbGaPd
1.0
6.393 0.000 0.000
0.000 6.393 0.000
0.000 0.000 4.999
K Rb Ga Pd
2 1 1 1
Cartesian
0.000 3.197 0.000
3.197 0.000 0.000
0.000 0.000 2.500
3.197 3.197 2.500
3.197 3.197 0.000
```

Properties
N(E_F) in states/eV per cell: 2.76
ΔE_f in eV/f.u.: -0.19